Entry 1:
Here is a relaxed structure of AcAl2SiAu4 from Alexandria. Energies are from GGA-PBE.

The value obtained for the raw total energy is -4.160 eV per atom. Its crystal system is trigonal.

The structure belongs to space group R-3m (No. 166, hexagonal axes); the cell edges are 4.3794, 4.3794 and 29.8782 Å and the angles 90.00°, 90.00° and 120.00°. The inequivalent atoms are Ac at (0.0000, 0.0000, 0.0000), Al at (0.0000, 0.0000, 0.2419), Si at (0.0000, 0.0000, 0.5000), Au at (0.0000, 0.0000, 0.1296) and Au at (0.0000, 0.0000, 0.4017).


Entry 2:
Here is a relaxed structure of BaTl2InPb from Alexandria. Energies are from GGA-PBE.

The value obtained for the raw total energy is -2.385 eV per atom. As for the formation energy: 0.2355 eV per atom. The relative energy among the computed polymorphs is 383 meV/atom. Its crystal system is tetragonal.

The structure belongs to space group P4/mmm (No. 123); the cell edges are 5.9337, 5.9337 and 6.6893 Å and the angles 90.00°, 90.00° and 90.00°. The inequivalent atoms are Ba at (0.0000, 0.0000, 0.0000), Tl at (0.0000, 0.5000, 0.5000), In at (0.5000, 0.5000, 0.0000) and Pb at (0.0000, 0.0000, 0.5000).


Entry 3:
Here is a relaxed structure of LiBiPdI2 from Alexandria. Energies are from GGA-PBE.

The value obtained for the raw total energy is -2.651 eV per atom. Its crystal system is tetragonal.

The structure belongs to space group P4/mmm (No. 123); the cell edges are 5.3517, 5.3517 and 4.7727 Å and the angles 90.00°, 90.00° and 90.00°. The inequivalent atoms are Li at (0.0000, 0.0000, 0.0000), Bi at (0.5000, 0.5000, 0.5000), Pd at (0.0000, 0.0000, 0.5000) and I at (0.0000, 0.5000, 0.0000).


Entry 4:
Here is a relaxed structure of SmLuThZr from Alexandria. Energies are from GGA-PBE.

The value obtained for the raw total energy is -6.152 eV per atom. As for the formation energy: 0.1499 eV per atom. Its crystal system is cubic.

The structure belongs to space group F-43m (No. 216); the cell edges are 7.7487, 7.7487 and 7.7487 Å and the angles 90.00°, 90.00° and 90.00°. The inequivalent atoms are Sm at (0.0000, 0.0000, 0.0000), Lu at (0.2500, 0.2500, 0.2500), Th at (0.0000, 0.0000, 0.5000) and Zr at (0.2500, 0.2500, 0.7500).


Entry 5:
Here is a relaxed structure of RbIn2Sb2Pb from Alexandria. Energies are from GGA-PBE.

The value obtained for the raw total energy is -3.213 eV per atom. Its crystal system is trigonal.

The structure belongs to space group P-3m1 (No. 164); the cell edges are 5.4236, 5.4236 and 8.1186 Å and the angles 90.00°, 90.00° and 120.00°. The inequivalent atoms are Rb at (0.0000, 0.0000, 0.0000), In at (0.3333, 0.6667, 0.6660), Sb at (0.3333, 0.6667, 0.2915) and Pb at (0.0000, 0.0000, 0.5000).


Entry 6:
Here is a relaxed structure of MnAs from Alexandria. Energies are from GGA-PBE.

The value obtained for the raw total energy is -6.912 eV per atom. As for the formation energy: -0.0029 eV per atom. Its crystal system is trigonal.

The structure belongs to space group P-3m1 (No. 164); the cell edges are 4.0579, 4.0579 and 13.9514 Å and the angles 90.00°, 90.00° and 120.00°. The inequivalent atoms are Mn at (0.0000, 0.0000, 0.1064), Mn at (0.3333, 0.6667, 0.1802), Mn at (0.3333, 0.6667, 0.3717), As at (0.0000, 0.0000, 0.2789), As at (0.3333, 0.6667, 0.5594) and As at (0.3333, 0.6667, 0.9174).


- Which formula does entry 1 have?
  AcAl2SiAu4


- What is the raw total energy in the fourth record?
  -6.152 eV per atom


- Number 6 is which compound?
  MnAs


- Look up the raw total energy of the second one.
  -2.385 eV per atom